[1]
## ZrP2HS (PBE)

Data for an optimized crystal structure of ZrP2HS.

The structure in CIF format:
```
data_ZrP2HS
_cell_length_a 3.673
_cell_length_b 3.673
_cell_length_c 5.223
_cell_angle_alpha 90.00
_cell_angle_beta 90.00
_cell_angle_gamma 90.00
_symmetry_space_group_name_H-M 'P 1'
_symmetry_Int_Tables_number 1
_symmetry_space_group_name_Hall 'P 1'
loop_
_atom_site_label
_atom_site_type_symbol
_atom_site_fract_x
_atom_site_fract_y
_atom_site_fract_z
P1 P 0.000 0.500 0.000
P2 P 0.500 0.000 0.000
S1 S 0.000 0.000 0.500
Zr1 Zr 0.500 0.500 0.500
H1 H 0.000 0.000 0.000
```

## Properties
**Energy**: -27.333 eV/cell
**DOS at the Fermi energy**: 1.7 states/eV/f.u.

[2]
## Y2VRu (PBE)

Data for an optimized crystal structure of Y2VRu.

The structure in CIF format:
```
data_Y2VRu
_cell_length_a 3.197
_cell_length_b 3.197
_cell_length_c 8.500
_cell_angle_alpha 90.00
_cell_angle_beta 90.00
_cell_angle_gamma 90.00
_symmetry_space_group_name_H-M 'P 1'
_symmetry_Int_Tables_number 1
_symmetry_space_group_name_Hall 'P 1'
loop_
_atom_site_label
_atom_site_type_symbol
_atom_site_fract_x
_atom_site_fract_y
_atom_site_fract_z
Y1 Y 0.500 0.500 0.746
Y2 Y 0.000 0.000 0.117
Ru1 Ru 0.000 0.000 0.510
V1 V 0.500 0.500 0.368
```

## Properties
**Formation energy from the elements**: -30.3 meV per atom
**Energy**: -31.444 eV/cell
**DOS at the Fermi energy**: 5.4 states/eV/f.u.

[3]
## MgSnF2 (PBE)

Data for an optimized crystal structure of MgSnF2.

The structure in CIF format:
```
data_MgSnF2
_cell_length_a 8.111
_cell_length_b 8.111
_cell_length_c 8.111
_cell_angle_alpha 23.49
_cell_angle_beta 23.49
_cell_angle_gamma 23.49
_symmetry_space_group_name_H-M 'P 1'
_symmetry_Int_Tables_number 1
_symmetry_space_group_name_Hall 'P 1'
loop_
_atom_site_label
_atom_site_type_symbol
_atom_site_fract_x
_atom_site_fract_y
_atom_site_fract_z
Mg1 Mg 0.000 0.000 0.000
Sn1 Sn 0.500 0.500 0.500
F1 F 0.920 0.920 0.920
F2 F 0.080 0.080 0.080
```

## Properties
**Energy**: -16.246 eV/cell
**ΔE_f (raw)**: -1726 meV per atom
**DOS at the Fermi energy**: 0.4 states/eV/f.u.

[4]
## LaPa2SiC4 (PBE)

Data for an optimized crystal structure of LaPa2SiC4.

The structure in CIF format:
```
data_LaPa2SiC4
_cell_length_a 3.609
_cell_length_b 6.246
_cell_length_c 11.796
_cell_angle_alpha 90.00
_cell_angle_beta 90.00
_cell_angle_gamma 106.79
_symmetry_space_group_name_H-M 'P 1'
_symmetry_Int_Tables_number 1
_symmetry_space_group_name_Hall 'P 1'
loop_
_atom_site_label
_atom_site_type_symbol
_atom_site_fract_x
_atom_site_fract_y
_atom_site_fract_z
La1 La 0.099 0.197 0.750
La2 La 0.901 0.803 0.250
Pa1 Pa 0.369 0.738 0.550
Pa2 Pa 0.631 0.262 0.050
Pa3 Pa 0.631 0.262 0.450
Pa4 Pa 0.369 0.738 0.950
Si1 Si 0.830 0.660 0.750
Si2 Si 0.170 0.340 0.250
C1 C 0.262 0.524 0.121
C2 C 0.738 0.476 0.621
C3 C 0.738 0.476 0.879
C4 C 0.262 0.524 0.379
C5 C 0.000 0.000 0.500
C6 C 0.000 0.000 0.000
C7 C 0.415 0.829 0.750
C8 C 0.585 0.171 0.250
```

## Properties
**Energy**: -137.195 eV/cell
**ΔE_f (raw)**: -295 meV per atom
**DOS at the Fermi energy**: 2.0 states/eV/f.u.

[5]
## Th2AgTe (PBE)

Data for an optimized crystal structure of Th2AgTe.

The structure in CIF format:
```
data_Th2AgTe
_cell_length_a 3.965
_cell_length_b 3.965
_cell_length_c 9.121
_cell_angle_alpha 77.45
_cell_angle_beta 77.45
_cell_angle_gamma 60.00
_symmetry_space_group_name_H-M 'P 1'
_symmetry_Int_Tables_number 1
_symmetry_space_group_name_Hall 'P 1'
loop_
_atom_site_label
_atom_site_type_symbol
_atom_site_fract_x
_atom_site_fract_y
_atom_site_fract_z
Th1 Th 0.085 0.085 0.745
Th2 Th 0.248 0.248 0.255
Ag1 Ag 0.500 0.500 0.500
Te1 Te 0.666 0.666 0.001
```

## Properties
**Energy**: -22.344 eV/cell
**ΔE_f (raw)**: -378 meV per atom
**DOS at the Fermi energy**: 4.5 states/eV/f.u.

[6]
## Cr2InBr (PBE)

Data for an optimized crystal structure of Cr2InBr.

The structure in CIF format:
```
data_Cr2InBr
_cell_length_a 3.328
_cell_length_b 3.482
_cell_length_c 7.524
_cell_angle_alpha 89.99
_cell_angle_beta 90.00
_cell_angle_gamma 90.00
_symmetry_space_group_name_H-M 'P 1'
_symmetry_Int_Tables_number 1
_symmetry_space_group_name_Hall 'P 1'
loop_
_atom_site_label
_atom_site_type_symbol
_atom_site_fract_x
_atom_site_fract_y
_atom_site_fract_z
Br1 Br 0.500 0.750 0.750
Cr1 Cr 0.000 0.750 0.033
Cr2 Cr 0.000 0.750 0.467
In1 In 0.500 0.250 0.250
```

## Properties
**Energy**: -22.284 eV/cell
**ΔE_f (raw)**: 344 meV per atom
**DOS at the Fermi energy**: 2.0 states/eV/f.u.

[7]
## Y2ZrW (PBE)

Data for an optimized crystal structure of Y2ZrW.

The structure in CIF format:
```
data_Y2ZrW
_cell_length_a 8.245
_cell_length_b 8.245
_cell_length_c 6.559
_cell_angle_alpha 51.05
_cell_angle_beta 51.05
_cell_angle_gamma 90.00
_symmetry_space_group_name_H-M 'P 1'
_symmetry_Int_Tables_number 1
_symmetry_space_group_name_Hall 'P 1'
loop_
_atom_site_label
_atom_site_type_symbol
_atom_site_fract_x
_atom_site_fract_y
_atom_site_fract_z
Y1 Y 0.658 0.125 0.250
Y2 Y 0.092 0.625 0.250
Y3 Y 0.375 0.342 0.750
Y4 Y 0.875 0.908 0.750
Zr1 Zr 0.500 0.500 0.000
Zr2 Zr 0.250 0.750 0.500
W1 W 0.000 0.000 0.000
W2 W 0.750 0.250 0.500
```

## Properties
**Formation energy from the elements**: 904.5 meV per atom
**Energy**: -61.623 eV/cell
**DOS at the Fermi energy**: 3.6 states/eV/f.u.

[8]
## NpH6IrPd (PBE)

Data for an optimized crystal structure of NpH6IrPd.

The structure in CIF format:
```
data_NpH6IrPd
_cell_length_a 4.762
_cell_length_b 4.762
_cell_length_c 4.163
_cell_angle_alpha 90.00
_cell_angle_beta 90.00
_cell_angle_gamma 59.99
_symmetry_space_group_name_H-M 'P 1'
_symmetry_Int_Tables_number 1
_symmetry_space_group_name_Hall 'P 1'
loop_
_atom_site_label
_atom_site_type_symbol
_atom_site_fract_x
_atom_site_fract_y
_atom_site_fract_z
Np1 Np 0.000 0.000 0.000
H1 H 0.023 0.490 0.219
H2 H 0.490 0.024 0.781
H3 H 0.487 0.490 0.781
H4 H 0.024 0.487 0.781
H5 H 0.490 0.486 0.219
H6 H 0.487 0.024 0.219
Ir1 Ir 0.333 0.333 0.500
Pd1 Pd 0.667 0.667 0.500
```

## Properties
**Energy**: -47.900 eV/cell
**DOS at the Fermi energy**: 10.0 states/eV/f.u.

[9]
## NaNd3Ti2Sb2O14 (PBE)

Data for an optimized crystal structure of NaNd3Ti2Sb2O14.

The structure in CIF format:
```
data_NaNd3Ti2Sb2O14
_cell_length_a 7.383
_cell_length_b 7.432
_cell_length_c 12.806
_cell_angle_alpha 54.86
_cell_angle_beta 90.00
_cell_angle_gamma 90.00
_symmetry_space_group_name_H-M 'P 1'
_symmetry_Int_Tables_number 1
_symmetry_space_group_name_Hall 'P 1'
loop_
_atom_site_label
_atom_site_type_symbol
_atom_site_fract_x
_atom_site_fract_y
_atom_site_fract_z
Na1 Na 0.500 0.500 0.000
Na2 Na 0.500 0.500 0.500
Nd1 Nd 0.272 0.000 0.750
Nd2 Nd 0.258 0.500 0.750
Nd3 Nd 0.742 0.500 0.250
Nd4 Nd 0.000 0.500 0.000
Nd5 Nd 0.728 0.000 0.250
Nd6 Nd 0.000 0.500 0.500
Ti1 Ti 0.000 0.000 0.500
Ti2 Ti 0.000 0.000 0.000
Ti3 Ti 0.763 0.000 0.750
Ti4 Ti 0.237 0.000 0.250
Sb1 Sb 0.245 0.500 0.250
Sb2 Sb 0.755 0.500 0.750
Sb3 Sb 0.500 0.000 0.000
Sb4 Sb 0.500 0.000 0.500
O1 O 0.249 0.629 0.873
O2 O 0.053 0.072 0.122
O3 O 0.250 0.075 0.924
O4 O 0.751 0.629 0.373
O5 O 0.046 0.678 0.123
O6 O 0.556 0.056 0.631
O7 O 0.947 0.072 0.622
O8 O 0.046 0.322 0.377
O9 O 0.769 0.681 0.819
O10 O 0.750 0.075 0.424
O11 O 0.231 0.319 0.181
O12 O 0.250 0.925 0.576
O13 O 0.549 0.673 0.628
O14 O 0.053 0.928 0.378
O15 O 0.954 0.678 0.623
O16 O 0.549 0.327 0.872
O17 O 0.444 0.056 0.131
O18 O 0.954 0.322 0.877
O19 O 0.769 0.319 0.681
O20 O 0.231 0.681 0.319
O21 O 0.249 0.371 0.627
O22 O 0.750 0.925 0.076
O23 O 0.556 0.944 0.869
O24 O 0.451 0.673 0.128
O25 O 0.947 0.928 0.878
O26 O 0.451 0.327 0.372
O27 O 0.751 0.371 0.127
O28 O 0.444 0.944 0.369
```

## Properties
**Energy**: -334.866 eV/cell
**ΔE_f (raw)**: -2653 meV per atom
**DOS at the Fermi energy**: 0.0 states/eV/f.u.

[10]
## Pm3ErSc2 (PBE)

Data for an optimized crystal structure of Pm3ErSc2.

The structure in CIF format:
```
data_Pm3ErSc2
_cell_length_a 5.502
_cell_length_b 8.722
_cell_length_c 8.722
_cell_angle_alpha 112.15
_cell_angle_beta 90.00
_cell_angle_gamma 90.00
_symmetry_space_group_name_H-M 'P 1'
_symmetry_Int_Tables_number 1
_symmetry_space_group_name_Hall 'P 1'
loop_
_atom_site_label
_atom_site_type_symbol
_atom_site_fract_x
_atom_site_fract_y
_atom_site_fract_z
Pm1 Pm 0.993 0.889 0.379
Pm2 Pm 0.493 0.621 0.111
Pm3 Pm 0.993 0.379 0.889
Pm4 Pm 0.493 0.111 0.621
Pm5 Pm 0.493 0.908 0.908
Pm6 Pm 0.993 0.092 0.092
Er1 Er 0.993 0.721 0.721
Er2 Er 0.493 0.279 0.279
Sc1 Sc 0.493 0.697 0.490
Sc2 Sc 0.993 0.510 0.303
Sc3 Sc 0.493 0.490 0.697
Sc4 Sc 0.993 0.303 0.510
```

## Properties
**Formation energy from the elements**: 272.3 meV per atom
**Energy**: -59.688 eV/cell
**DOS at the Fermi energy**: 10.6 states/eV/f.u.